(1)
VASP calculation (GGA-PBE) on KTcNO after structural relaxation.

a = 3.675 Å, b = 3.675 Å, c = 10.186 Å
α = 90.00°, β = 90.00°, γ = 90.00°
Sites, in units of the cell vectors:
K1 0.250 0.250 0.175
K2 0.750 0.750 0.825
Tc1 0.250 0.750 0.500
Tc2 0.750 0.250 0.500
N1 0.250 0.250 0.591
N2 0.750 0.750 0.409
O1 0.250 0.750 0.000
O2 0.750 0.250 0.000

Results
E above lowest polymorph, meV per atom: 796
Symmetry: P4/nmm

(2)
VASP calculation (GGA-PBE) on KTcNO after structural relaxation.

a = 4.220 Å, b = 4.220 Å, c = 7.710 Å
α = 90.00°, β = 90.00°, γ = 90.08°
Sites, in units of the cell vectors:
K1 0.250 0.250 0.000
K2 0.750 0.750 0.000
Tc1 0.250 0.750 0.578
Tc2 0.750 0.250 0.422
N1 0.250 0.750 0.802
N2 0.750 0.250 0.198
O1 0.250 0.250 0.500
O2 0.750 0.750 0.500

Results
E above lowest polymorph, meV per atom: 558
Symmetry: Cmme

(3)
VASP calculation (GGA-PBE) on KTcNO after structural relaxation.

a = 3.261 Å, b = 6.679 Å, c = 6.090 Å
α = 90.00°, β = 90.00°, γ = 90.00°
Sites, in units of the cell vectors:
K1 0.000 0.224 0.000
K2 0.000 0.776 0.500
Tc1 0.500 0.319 0.499
Tc2 0.500 0.681 0.999
N1 0.000 0.179 0.486
N2 0.000 0.821 0.986
O1 0.500 0.490 0.757
O2 0.500 0.510 0.257

Results
E above lowest polymorph, meV per atom: 81
Symmetry: Pmc2_1

(4)
VASP calculation (GGA-PBE) on KTcNO after structural relaxation.

a = 6.305 Å, b = 8.207 Å, c = 5.079 Å
α = 90.00°, β = 90.00°, γ = 90.00°
Sites, in units of the cell vectors:
K1 0.096 0.168 0.000
K2 0.404 0.168 0.500
K3 0.596 0.832 0.000
K4 0.904 0.832 0.500
Tc1 0.146 0.633 0.004
Tc2 0.354 0.633 0.504
Tc3 0.646 0.367 0.004
Tc4 0.854 0.367 0.504
N1 0.070 0.831 0.996
N2 0.430 0.831 0.496
N3 0.570 0.169 0.996
N4 0.930 0.169 0.496
O1 0.084 0.513 0.645
O2 0.416 0.513 0.145
O3 0.584 0.487 0.645
O4 0.916 0.487 0.145

Results
E above lowest polymorph, meV per atom: 136
Symmetry: Pca2_1